(1)
The following is a DFT calculation (PBE-GGA) of crystalline Ca2AcHg6 at its relaxed geometry.

Lattice parameters (Å, degrees): 8.7965 8.7965 3.6766 90.00 90.00 120.00
With the nearest neighbours (Å) after each atom.
Space group P6/mmm (No. 191)
Asymmetric unit:
Ca: 0.3333 0.6667 0.0000  12 Hg 3.44, 2 Ca 3.68
Ac: 0.0000 0.0000 0.0000  12 Hg 3.49, 2 Ac 3.68
Hg: 0.0000 0.3378 0.5000  3 Hg 2.85-2.97

Computed properties:
ΔH_f (0 K): -446 meV/atom
Magnetization: 0.00 μB/f.u.
Final energy: -13.93 eV/cell
Density of states at the Fermi level: 0.666 states/eV/atom

(2)
The following is a DFT calculation (PBE-GGA) of crystalline Ca3AcHg at its relaxed geometry.

Lattice parameters (Å, degrees): 12.7430 9.9027 8.0733 90.00 127.50 90.00
With the nearest neighbours (Å) after each atom.
Space group C2/m (No. 12)
Asymmetric unit:
Ca: 0.0482 0.0000 0.3280  1 Hg 3.07
Ca: 0.2473 0.2986 0.7801  2 Hg 3.07-3.33
Ac: 0.0592 0.5000 0.2771  2 Hg 3.22-3.41
Hg: 0.2496 0.0000 0.8867  5 Ca 3.07-3.33, 2 Ac 3.22-3.41

Computed properties:
ΔH_f (0 K): -111 meV/atom
Magnetization: 0.00 μB/f.u.
Final energy: -43.87 eV/cell
Density of states at the Fermi level: 1.197 states/eV/atom
Energy above the lowest structure with this stoichiometry: 75 meV per atom

(3)
The following is a DFT calculation (PBE-GGA) of crystalline CaAcHg4 at its relaxed geometry.

Lattice parameters (Å, degrees): 8.7202 8.7202 8.7202 90.00 90.00 90.00
With the nearest neighbours (Å) after each atom.
Space group F-43m (No. 216)
Asymmetric unit:
Ca: 0.0000 0.0000 0.0000  12 Hg 3.61, 4 Ac 3.78
Ac: 0.2500 0.2500 0.7500  12 Hg 3.62, 4 Ca 3.78
Hg: 0.1251 0.1251 0.3749  6 Hg 3.08-3.09

Computed properties:
ΔH_f (0 K): -313 meV/atom
Magnetization: 0.00 μB/f.u.
Final energy: -36.78 eV/cell
Density of states at the Fermi level: 0.971 states/eV/atom
Energy above the lowest structure with this stoichiometry: 145 meV per atom